# Tb3Ga2Ni6

An optimized crystal structure of Tb3Ga2Ni6 (PBE, Alexandria).

Its total energy is -242.46 eV/cell. The value obtained for the total magnetic moment is 0.00 μB/f.u. The calculated formation energy comes out at -544 meV per atom. As for the calculated density: 9.06 Mg/m³.

a = 8.9203 Å, b = 8.9203 Å, c = 8.9203 Å
α = 90.00°, β = 90.00°, γ = 90.00°
Last column: nearest neighbours and their distance in Å.
Space group Im-3m (No. 229)
One atom of each set of equivalent atoms:
Tb1 0.0000 0.0000 0.2911 (multiplicity 12)  8 Ni 2.78-3.03
Ga1 0.2500 0.2500 0.2500 (multiplicity 8)  6 Ni 2.48
Ni1 0.0000 0.3366 0.3366 (multiplicity 24)  2 Ga 2.48, 4 Ni 2.58, 2 Tb 2.78